# 1
## Nd2GeB2O8 (PBE)

Data for a geometry-optimized Nd2GeB2O8 structure. Values from VASP.

Results
ΔE_f (raw): -2.7374 eV/atom

The structure in Quantum ESPRESSO input format:
```
&SYSTEM
  ibrav = 0, nat = 52, ntyp = 4
/
ATOMIC_SPECIES
Nd 144.24 Nd.upf
Ge 72.64 Ge.upf
B 10.81 B.upf
O 16.00 O.upf
ATOMIC_POSITIONS crystal
Nd 0.455 0.527 0.641
Nd 0.045 0.027 0.859
Nd 0.045 0.473 0.141
Nd 0.455 0.973 0.359
Nd 0.545 0.473 0.359
Nd 0.955 0.973 0.141
Nd 0.955 0.527 0.859
Nd 0.545 0.027 0.641
Ge 0.919 0.750 0.500
Ge 0.581 0.250 0.000
Ge 0.081 0.250 0.500
Ge 0.419 0.750 0.000
B 0.533 0.705 0.200
B 0.967 0.205 0.300
B 0.967 0.295 0.700
B 0.533 0.795 0.800
B 0.467 0.295 0.800
B 0.033 0.795 0.700
B 0.033 0.705 0.300
B 0.467 0.205 0.200
O 0.539 0.555 0.192
O 0.961 0.055 0.308
O 0.961 0.445 0.692
O 0.539 0.945 0.808
O 0.461 0.445 0.808
O 0.039 0.945 0.692
O 0.039 0.555 0.308
O 0.461 0.055 0.192
O 0.647 0.768 0.106
O 0.853 0.268 0.394
O 0.853 0.232 0.606
O 0.647 0.732 0.894
O 0.353 0.232 0.894
O 0.147 0.732 0.606
O 0.147 0.768 0.394
O 0.353 0.268 0.106
O 0.227 0.761 0.220
O 0.273 0.261 0.280
O 0.273 0.239 0.720
O 0.227 0.739 0.780
O 0.773 0.239 0.780
O 0.727 0.739 0.720
O 0.727 0.761 0.280
O 0.773 0.261 0.220
O 0.701 0.601 0.495
O 0.799 0.101 0.005
O 0.799 0.399 0.995
O 0.701 0.899 0.505
O 0.299 0.399 0.505
O 0.201 0.899 0.995
O 0.201 0.601 0.005
O 0.299 0.101 0.495
CELL_PARAMETERS angstrom
-1.211 1.337 -4.144
5.129 -7.176 -3.814
-11.090 -8.236 0.584
```



# 2
## NdGe2BOs2 (PBE)

Data for a geometry-optimized NdGe2BOs2 structure. Values from VASP.

Results
VASP energy: -7.544 eV per atom

The structure in Quantum ESPRESSO input format:
```
&SYSTEM
  ibrav = 0, nat = 6, ntyp = 4
/
ATOMIC_SPECIES
Nd 144.24 Nd.upf
Ge 72.64 Ge.upf
B 10.81 B.upf
Os 190.23 Os.upf
ATOMIC_POSITIONS crystal
Nd 0.000 0.000 0.500
Ge 0.500 0.500 0.724
Ge 0.500 0.500 0.276
B 0.000 0.000 0.000
Os 0.500 0.000 0.000
Os 0.000 0.500 0.000
CELL_PARAMETERS angstrom
4.212 0.000 0.000
0.000 4.212 0.000
0.000 0.000 5.565
```



# 3
## Nd3GeB2Pt9 (PBE)

Data for a geometry-optimized Nd3GeB2Pt9 structure. Values from VASP.

Results
VASP energy: -6.572 eV per atom

The structure in Quantum ESPRESSO input format:
```
&SYSTEM
  ibrav = 0, nat = 15, ntyp = 4
/
ATOMIC_SPECIES
Nd 144.24 Nd.upf
Ge 72.64 Ge.upf
B 10.81 B.upf
Pt 195.08 Pt.upf
ATOMIC_POSITIONS crystal
Nd 0.333 0.667 0.609
Nd 0.000 0.000 0.000
Nd 0.667 0.333 0.391
Ge 0.000 0.000 0.500
B 0.333 0.667 0.149
B 0.667 0.333 0.851
Pt 0.834 0.166 0.711
Pt 0.834 0.668 0.711
Pt 0.332 0.166 0.711
Pt 0.668 0.834 0.289
Pt 0.166 0.332 0.289
Pt 0.166 0.834 0.289
Pt 0.500 0.000 0.000
Pt 0.000 0.500 0.000
Pt 0.500 0.500 0.000
CELL_PARAMETERS angstrom
5.829 0.000 0.000
-2.914 5.048 0.000
0.000 0.000 9.235
```



# 4
## Nd4GeB3Rh12 (PBE)

Data for a geometry-optimized Nd4GeB3Rh12 structure. Values from VASP.

Results
VASP energy: -7.238 eV per atom

The structure in Quantum ESPRESSO input format:
```
&SYSTEM
  ibrav = 0, nat = 20, ntyp = 4
/
ATOMIC_SPECIES
Nd 144.24 Nd.upf
Ge 72.64 Ge.upf
B 10.81 B.upf
Rh 102.91 Rh.upf
ATOMIC_POSITIONS crystal
Nd 0.500 0.500 0.500
Nd 0.000 0.000 0.500
Nd 0.500 0.000 0.000
Nd 0.000 0.500 0.000
Ge 0.000 0.000 0.000
B 0.500 0.000 0.500
B 0.500 0.500 0.000
B 0.000 0.500 0.500
Rh 0.250 0.500 0.750
Rh 0.730 0.000 0.730
Rh 0.270 0.000 0.270
Rh 0.750 0.500 0.250
Rh 0.730 0.730 0.000
Rh 0.270 0.270 0.000
Rh 0.750 0.250 0.500
Rh 0.250 0.750 0.500
Rh 0.500 0.250 0.750
Rh 0.000 0.730 0.730
Rh 0.500 0.750 0.250
Rh 0.000 0.270 0.270
CELL_PARAMETERS angstrom
7.530 0.000 0.000
-2.510 7.099 0.000
-2.510 -3.550 6.148
```



# 5
## NdGeBRh3 (PBE)

Data for a geometry-optimized NdGeBRh3 structure. Values from VASP.

Results
VASP energy: -7.024 eV per atom

The structure in Quantum ESPRESSO input format:
```
&SYSTEM
  ibrav = 0, nat = 12, ntyp = 4
/
ATOMIC_SPECIES
Nd 144.24 Nd.upf
Ge 72.64 Ge.upf
B 10.81 B.upf
Rh 102.91 Rh.upf
ATOMIC_POSITIONS crystal
Nd 0.750 0.256 0.511
Nd 0.250 0.744 0.489
Ge 0.250 0.380 0.761
Ge 0.750 0.620 0.239
B 0.250 0.015 0.029
B 0.750 0.985 0.971
Rh 0.250 0.185 0.369
Rh 0.000 0.250 0.000
Rh 0.500 0.750 0.000
Rh 0.500 0.250 0.000
Rh 0.000 0.750 0.000
Rh 0.750 0.815 0.631
CELL_PARAMETERS angstrom
-4.008 1.500 3.933
0.973 -4.908 2.865
3.807 5.239 1.881
```



# 6
## Nd2GeB2Ru5 (PBE)

Data for a geometry-optimized Nd2GeB2Ru5 structure. Values from VASP.

Results
VASP energy: -7.721 eV per atom

The structure in Quantum ESPRESSO input format:
```
&SYSTEM
  ibrav = 0, nat = 20, ntyp = 4
/
ATOMIC_SPECIES
Nd 144.24 Nd.upf
Ge 72.64 Ge.upf
B 10.81 B.upf
Ru 101.07 Ru.upf
ATOMIC_POSITIONS crystal
Nd 0.000 0.677 0.177
Nd 0.000 0.323 0.823
Nd 0.000 0.177 0.323
Nd 0.000 0.823 0.677
Ge 0.000 0.000 0.000
Ge 0.000 0.500 0.500
B 0.000 0.121 0.621
B 0.000 0.879 0.379
B 0.000 0.621 0.879
B 0.000 0.379 0.121
Ru 0.500 0.218 0.068
Ru 0.500 0.782 0.932
Ru 0.500 0.068 0.782
Ru 0.500 0.718 0.432
Ru 0.500 0.932 0.218
Ru 0.500 0.282 0.568
Ru 0.500 0.568 0.718
Ru 0.500 0.432 0.282
Ru 0.500 0.500 0.000
Ru 0.500 0.000 0.500
CELL_PARAMETERS angstrom
3.142 0.000 0.000
0.000 9.723 0.000
0.000 0.000 9.723
```



The records above yield size of the total moment values of 0.00 0.00 0.00 0.00 0.00 0.00 μB per cell, respectively.